[1]
Tm2Si3Au2: optimized geometry, PBE.

Calculated values
Symmetry: Cmcm (63)
Energy relative to the elements, uncorrected, eV/atom: -0.637
Size of the total moment, μB per formula unit: 0.00
DOS at the Fermi energy, states/eV per cell: 4.9
Calculated volume, Å³ per atom: 18.8

CIF file:
```
data_Tm2Si3Au2
_cell_length_a 9.255
_cell_length_b 9.255
_cell_length_c 6.921
_cell_angle_alpha 90.00
_cell_angle_beta 90.00
_cell_angle_gamma 153.61
_space_group_name_H-M_alt 'P 1'
_space_group_IT_number 1
loop_
_space_group_symop_operation_xyz
'x,y,z'
loop_
_atom_site_label
_atom_site_type_symbol
_atom_site_fract_x
_atom_site_fract_y
_atom_site_fract_z
Tm1 Tm 0.050 0.950 0.750
Tm2 Tm 0.151 0.849 0.250
Tm3 Tm 0.849 0.151 0.750
Tm4 Tm 0.950 0.050 0.250
Si1 Si 0.223 0.777 0.750
Si2 Si 0.444 0.556 0.578
Si3 Si 0.444 0.556 0.922
Si4 Si 0.556 0.444 0.078
Si5 Si 0.556 0.444 0.422
Si6 Si 0.777 0.223 0.250
Au1 Au 0.315 0.685 0.047
Au2 Au 0.315 0.685 0.453
Au3 Au 0.685 0.315 0.547
Au4 Au 0.685 0.315 0.953
```



[2]
Tm3Si5Au6: optimized geometry, PBE.

Calculated values
Symmetry: Pmmn (59)
Energy relative to the elements, uncorrected, eV/atom: -0.509
Size of the total moment, μB per formula unit: 0.00
DOS at the Fermi energy, states/eV per cell: 8.0
Calculated volume, Å³ per atom: 18.5

CIF file:
```
data_Tm3Si5Au6
_cell_length_a 4.194
_cell_length_b 12.627
_cell_length_c 9.793
_cell_angle_alpha 90.00
_cell_angle_beta 90.00
_cell_angle_gamma 90.00
_space_group_name_H-M_alt 'P 1'
_space_group_IT_number 1
loop_
_space_group_symop_operation_xyz
'x,y,z'
loop_
_atom_site_label
_atom_site_type_symbol
_atom_site_fract_x
_atom_site_fract_y
_atom_site_fract_z
Tm1 Tm 0.250 0.075 0.244
Tm2 Tm 0.250 0.425 0.244
Tm3 Tm 0.250 0.750 0.253
Tm4 Tm 0.750 0.250 0.747
Tm5 Tm 0.750 0.575 0.756
Tm6 Tm 0.750 0.925 0.756
Si1 Si 0.250 0.090 0.859
Si2 Si 0.250 0.410 0.859
Si3 Si 0.250 0.627 0.537
Si4 Si 0.250 0.750 0.788
Si5 Si 0.250 0.873 0.537
Si6 Si 0.750 0.127 0.463
Si7 Si 0.750 0.250 0.212
Si8 Si 0.750 0.373 0.463
Si9 Si 0.750 0.590 0.141
Si10 Si 0.750 0.910 0.141
Au1 Au 0.250 0.067 0.614
Au2 Au 0.250 0.250 0.025
Au3 Au 0.250 0.250 0.452
Au4 Au 0.250 0.433 0.614
Au5 Au 0.250 0.589 0.994
Au6 Au 0.250 0.911 0.994
Au7 Au 0.750 0.089 0.006
Au8 Au 0.750 0.411 0.006
Au9 Au 0.750 0.567 0.386
Au10 Au 0.750 0.750 0.548
Au11 Au 0.750 0.750 0.975
Au12 Au 0.750 0.933 0.386
```



[3]
Tm2Si7Au12: optimized geometry, PBE.

Calculated values
Symmetry: P-3 (147)
Energy relative to the elements, uncorrected, eV/atom: -0.195
Size of the total moment, μB per formula unit: 0.00
DOS at the Fermi energy, states/eV per cell: 6.2
Calculated volume, Å³ per atom: 18.4

CIF file:
```
data_Tm2Si7Au12
_cell_length_a 10.217
_cell_length_b 10.217
_cell_length_c 4.275
_cell_angle_alpha 90.00
_cell_angle_beta 90.00
_cell_angle_gamma 120.00
_space_group_name_H-M_alt 'P 1'
_space_group_IT_number 1
loop_
_space_group_symop_operation_xyz
'x,y,z'
loop_
_atom_site_label
_atom_site_type_symbol
_atom_site_fract_x
_atom_site_fract_y
_atom_site_fract_z
Tm1 Tm 0.333 0.667 0.254
Tm2 Tm 0.667 0.333 0.746
Si1 Si 0.000 0.000 0.000
Si2 Si 0.113 0.396 0.779
Si3 Si 0.283 0.887 0.779
Si4 Si 0.396 0.283 0.221
Si5 Si 0.604 0.717 0.779
Si6 Si 0.717 0.113 0.221
Si7 Si 0.887 0.604 0.221
Au1 Au 0.083 0.615 0.742
Au2 Au 0.126 0.859 0.281
Au3 Au 0.141 0.267 0.281
Au4 Au 0.267 0.126 0.719
Au5 Au 0.385 0.468 0.742
Au6 Au 0.468 0.083 0.258
Au7 Au 0.532 0.917 0.742
Au8 Au 0.615 0.532 0.258
Au9 Au 0.733 0.874 0.281
Au10 Au 0.859 0.733 0.719
Au11 Au 0.874 0.141 0.719
Au12 Au 0.917 0.385 0.258
```



[4]
USi2Au3: optimized geometry, PBE.

Calculated values
Symmetry: C2/m (12)
Energy relative to the elements, uncorrected, eV/atom: -0.188
Size of the total moment, μB per formula unit: 2.41
DOS at the Fermi energy, states/eV per cell: 16.7
Calculated volume, Å³ per atom: 18.8

CIF file:
```
data_USi2Au3
_cell_length_a 8.188
_cell_length_b 8.188
_cell_length_c 7.511
_cell_angle_alpha 116.07
_cell_angle_beta 116.07
_cell_angle_gamma 30.28
_space_group_name_H-M_alt 'P 1'
_space_group_IT_number 1
loop_
_space_group_symop_operation_xyz
'x,y,z'
loop_
_atom_site_label
_atom_site_type_symbol
_atom_site_fract_x
_atom_site_fract_y
_atom_site_fract_z
U1 U 0.140 0.140 0.068
U2 U 0.860 0.860 0.932
Si1 Si 0.205 0.205 0.730
Si2 Si 0.489 0.489 0.837
Si3 Si 0.511 0.511 0.163
Si4 Si 0.795 0.795 0.270
Au1 Au 0.048 0.048 0.380
Au2 Au 0.316 0.316 0.583
Au3 Au 0.374 0.374 0.254
Au4 Au 0.626 0.626 0.746
Au5 Au 0.684 0.684 0.417
Au6 Au 0.952 0.952 0.620
```



[5]
U2Si3Au: optimized geometry, PBE.

Calculated values
Symmetry: Pmm2 (25)
Energy relative to the elements, uncorrected, eV/atom: -0.279
Size of the total moment, μB per formula unit: 4.79
DOS at the Fermi energy, states/eV per cell: 13.0
Calculated volume, Å³ per atom: 19.3

CIF file:
```
data_U2Si3Au
_cell_length_a 3.864
_cell_length_b 4.159
_cell_length_c 7.221
_cell_angle_alpha 90.00
_cell_angle_beta 90.00
_cell_angle_gamma 90.00
_space_group_name_H-M_alt 'P 1'
_space_group_IT_number 1
loop_
_space_group_symop_operation_xyz
'x,y,z'
loop_
_atom_site_label
_atom_site_type_symbol
_atom_site_fract_x
_atom_site_fract_y
_atom_site_fract_z
U1 U 0.000 0.000 0.000
U2 U 0.000 0.500 0.461
Si1 Si 0.500 0.000 0.312
Si2 Si 0.500 0.000 0.634
Si3 Si 0.500 0.500 0.155
Au1 Au 0.500 0.500 0.813
```



[6]
USiAu2: optimized geometry, PBE.

Calculated values
Symmetry: R-3m (166)
Energy relative to the elements, uncorrected, eV/atom: 0.337
Size of the total moment, μB per formula unit: 0.69
DOS at the Fermi energy, states/eV per cell: 12.9
Calculated volume, Å³ per atom: 19.1

CIF file:
```
data_USiAu2
_cell_length_a 2.843
_cell_length_b 2.843
_cell_length_c 32.691
_cell_angle_alpha 90.00
_cell_angle_beta 90.00
_cell_angle_gamma 120.00
_space_group_name_H-M_alt 'P 1'
_space_group_IT_number 1
loop_
_space_group_symop_operation_xyz
'x,y,z'
loop_
_atom_site_label
_atom_site_type_symbol
_atom_site_fract_x
_atom_site_fract_y
_atom_site_fract_z
U1 U 0.000 0.000 0.000
U2 U 0.333 0.667 0.667
U3 U 0.667 0.333 0.333
Si1 Si 0.000 0.000 0.500
Si2 Si 0.333 0.667 0.167
Si3 Si 0.667 0.333 0.833
Au1 Au 0.000 0.000 0.094
Au2 Au 0.000 0.000 0.906
Au3 Au 0.333 0.667 0.573
Au4 Au 0.333 0.667 0.761
Au5 Au 0.667 0.333 0.239
Au6 Au 0.667 0.333 0.427
```



[7]
U2Si3Au3: optimized geometry, PBE.

Calculated values
Symmetry: P4/mmm (123)
Energy relative to the elements, uncorrected, eV/atom: 0.456
Size of the total moment, μB per formula unit: 2.27
DOS at the Fermi energy, states/eV per cell: 7.4
Calculated volume, Å³ per atom: 19.7

CIF file:
```
data_U2Si3Au3
_cell_length_a 2.692
_cell_length_b 2.692
_cell_length_c 21.730
_cell_angle_alpha 90.00
_cell_angle_beta 90.00
_cell_angle_gamma 90.00
_space_group_name_H-M_alt 'P 1'
_space_group_IT_number 1
loop_
_space_group_symop_operation_xyz
'x,y,z'
loop_
_atom_site_label
_atom_site_type_symbol
_atom_site_fract_x
_atom_site_fract_y
_atom_site_fract_z
U1 U 0.000 0.000 0.241
U2 U 0.000 0.000 0.759
Si1 Si 0.000 0.000 0.114
Si2 Si 0.000 0.000 0.500
Si3 Si 0.000 0.000 0.886
Au1 Au 0.000 0.000 0.000
Au2 Au 0.000 0.000 0.381
Au3 Au 0.000 0.000 0.619
```



[8]
USi2Au6: optimized geometry, PBE.

Calculated values
Symmetry: P4/mmm (123)
Energy relative to the elements, uncorrected, eV/atom: -0.147
Size of the total moment, μB per formula unit: 2.67
DOS at the Fermi energy, states/eV per cell: 8.9
Calculated volume, Å³ per atom: 18.3

CIF file:
```
data_USi2Au6
_cell_length_a 4.171
_cell_length_b 4.171
_cell_length_c 9.467
_cell_angle_alpha 90.00
_cell_angle_beta 90.00
_cell_angle_gamma 90.00
_space_group_name_H-M_alt 'P 1'
_space_group_IT_number 1
loop_
_space_group_symop_operation_xyz
'x,y,z'
loop_
_atom_site_label
_atom_site_type_symbol
_atom_site_fract_x
_atom_site_fract_y
_atom_site_fract_z
U1 U 0.000 0.000 0.000
Si1 Si 0.500 0.500 0.120
Si2 Si 0.500 0.500 0.880
Au1 Au 0.000 0.000 0.500
Au2 Au 0.000 0.500 0.272
Au3 Au 0.000 0.500 0.728
Au4 Au 0.500 0.000 0.272
Au5 Au 0.500 0.000 0.728
Au6 Au 0.500 0.500 0.500
```



[9]
USi2Au4: optimized geometry, PBE.

Calculated values
Symmetry: Cmmm (65)
Energy relative to the elements, uncorrected, eV/atom: -0.200
Size of the total moment, μB per formula unit: 2.63
DOS at the Fermi energy, states/eV per cell: 16.7
Calculated volume, Å³ per atom: 18.5

CIF file:
```
data_USi2Au4
_cell_length_a 4.232
_cell_length_b 14.504
_cell_length_c 4.209
_cell_angle_alpha 90.00
_cell_angle_beta 90.00
_cell_angle_gamma 90.00
_space_group_name_H-M_alt 'P 1'
_space_group_IT_number 1
loop_
_space_group_symop_operation_xyz
'x,y,z'
loop_
_atom_site_label
_atom_site_type_symbol
_atom_site_fract_x
_atom_site_fract_y
_atom_site_fract_z
U1 U 0.000 0.000 0.000
U2 U 0.500 0.500 0.000
Si1 Si 0.000 0.421 0.500
Si2 Si 0.000 0.579 0.500
Si3 Si 0.500 0.079 0.500
Si4 Si 0.500 0.921 0.500
Au1 Au 0.000 0.174 0.500
Au2 Au 0.000 0.325 0.000
Au3 Au 0.000 0.675 0.000
Au4 Au 0.000 0.826 0.500
Au5 Au 0.500 0.175 0.000
Au6 Au 0.500 0.326 0.500
Au7 Au 0.500 0.674 0.500
Au8 Au 0.500 0.825 0.000
```



[10]
VSiAu2: optimized geometry, PBE.

Calculated values
Symmetry: I-42d (122)
Energy relative to the elements, uncorrected, eV/atom: 0.231
Size of the total moment, μB per formula unit: 1.64
DOS at the Fermi energy, states/eV per cell: 10.1
Calculated volume, Å³ per atom: 17.5

CIF file:
```
data_VSiAu2
_cell_length_a 3.787
_cell_length_b 3.787
_cell_length_c 19.521
_cell_angle_alpha 90.00
_cell_angle_beta 90.00
_cell_angle_gamma 90.00
_space_group_name_H-M_alt 'P 1'
_space_group_IT_number 1
loop_
_space_group_symop_operation_xyz
'x,y,z'
loop_
_atom_site_label
_atom_site_type_symbol
_atom_site_fract_x
_atom_site_fract_y
_atom_site_fract_z
V1 V 0.000 0.000 0.000
V2 V 0.000 0.500 0.250
V3 V 0.500 0.000 0.750
V4 V 0.500 0.500 0.500
Si1 Si 0.000 0.000 0.500
Si2 Si 0.000 0.500 0.750
Si3 Si 0.500 0.000 0.250
Si4 Si 0.500 0.500 0.000
Au1 Au 0.249 0.250 0.625
Au2 Au 0.250 0.749 0.875
Au3 Au 0.250 0.751 0.375
Au4 Au 0.251 0.250 0.125
Au5 Au 0.749 0.750 0.125
Au6 Au 0.750 0.249 0.375
Au7 Au 0.750 0.251 0.875
Au8 Au 0.751 0.750 0.625
```



[11]
VSi2Au: optimized geometry, PBE.

Calculated values
Symmetry: Fm-3m (225)
Energy relative to the elements, uncorrected, eV/atom: 0.251
Size of the total moment, μB per formula unit: 0.00
DOS at the Fermi energy, states/eV per cell: 6.6
Calculated volume, Å³ per atom: 14.6

CIF file:
```
data_VSi2Au
_cell_length_a 6.159
_cell_length_b 6.159
_cell_length_c 6.159
_cell_angle_alpha 90.00
_cell_angle_beta 90.00
_cell_angle_gamma 90.00
_space_group_name_H-M_alt 'P 1'
_space_group_IT_number 1
loop_
_space_group_symop_operation_xyz
'x,y,z'
loop_
_atom_site_label
_atom_site_type_symbol
_atom_site_fract_x
_atom_site_fract_y
_atom_site_fract_z
V1 V 0.000 0.000 0.000
V2 V 0.000 0.500 0.500
V3 V 0.500 0.000 0.500
V4 V 0.500 0.500 0.000
Si1 Si 0.250 0.250 0.250
Si2 Si 0.250 0.250 0.750
Si3 Si 0.250 0.750 0.250
Si4 Si 0.250 0.750 0.750
Si5 Si 0.750 0.250 0.250
Si6 Si 0.750 0.250 0.750
Si7 Si 0.750 0.750 0.250
Si8 Si 0.750 0.750 0.750
Au1 Au 0.000 0.000 0.500
Au2 Au 0.000 0.500 0.000
Au3 Au 0.500 0.000 0.000
Au4 Au 0.500 0.500 0.500
```



[12]
VSi2Au2: optimized geometry, PBE.

Calculated values
Symmetry: P4/mbm (127)
Energy relative to the elements, uncorrected, eV/atom: 0.141
Size of the total moment, μB per formula unit: 1.38
DOS at the Fermi energy, states/eV per cell: 6.5
Calculated volume, Å³ per atom: 16.2

CIF file:
```
data_VSi2Au2
_cell_length_a 6.492
_cell_length_b 6.492
_cell_length_c 3.851
_cell_angle_alpha 90.00
_cell_angle_beta 90.00
_cell_angle_gamma 90.00
_space_group_name_H-M_alt 'P 1'
_space_group_IT_number 1
loop_
_space_group_symop_operation_xyz
'x,y,z'
loop_
_atom_site_label
_atom_site_type_symbol
_atom_site_fract_x
_atom_site_fract_y
_atom_site_fract_z
V1 V 0.000 0.000 0.000
V2 V 0.500 0.500 0.000
Si1 Si 0.128 0.372 0.000
Si2 Si 0.372 0.872 0.000
Si3 Si 0.628 0.128 0.000
Si4 Si 0.872 0.628 0.000
Au1 Au 0.191 0.691 0.500
Au2 Au 0.309 0.191 0.500
Au3 Au 0.691 0.809 0.500
Au4 Au 0.809 0.309 0.500
```



> Among the records above, which one has the highest calculated volume?

U2Si3Au3